A relaxed Rb2Mg3ZrF12 crystal, computed with PBE.

a = 7.7022 Å, b = 7.7022 Å, c = 7.7022 Å
α = 57.29°, β = 57.29°, γ = 57.29°
Closest atoms and distances in Å follow each position.
Element x y z (fractional)
1 Mg 0.0000 0.5000 0.0000  6 F 1.96-2.11
2 Mg 0.5000 0.0000 0.0000  6 F 1.96-2.11
3 Mg 0.0000 0.0000 0.5000  6 F 1.96-2.11
4 F 0.9225 0.3126 0.3126  2 Mg 1.96
5 F 0.0775 0.6874 0.6874  2 Mg 1.96
6 F 0.3237 0.9271 0.9271  1 Zr 2.04, 1 Mg 2.11
7 F 0.3126 0.9225 0.3126  2 Mg 1.96
8 F 0.0729 0.6763 0.0729  1 Zr 2.04, 1 Mg 2.11
9 F 0.6874 0.6874 0.0775  2 Mg 1.96
10 F 0.0729 0.0729 0.6763  1 Zr 2.04, 1 Mg 2.11
11 F 0.9271 0.9271 0.3237  1 Zr 2.04, 1 Mg 2.11
12 F 0.9271 0.3237 0.9271  1 Zr 2.04, 1 Mg 2.11
13 F 0.3126 0.3126 0.9225  2 Mg 1.96
14 F 0.6763 0.0729 0.0729  1 Zr 2.04, 1 Mg 2.11
15 F 0.6874 0.0775 0.6874  2 Mg 1.96
16 Rb 0.5931 0.5931 0.5931  6 F 3.00-3.34
17 Rb 0.4069 0.4069 0.4069  6 F 3.00-3.34
18 Zr 0.0000 0.0000 0.0000  6 F 2.04

Values from the calculation:
total magnetization = 0.000 μB/f.u.
energy relative to the elements, uncorrected = -3425.7 meV/atom
uncorrected energy = -5.521 eV per atom

A relaxed RbMgZrF2 crystal, computed with PBE.

a = 4.4425 Å, b = 7.8650 Å, c = 4.4425 Å
α = 90.00°, β = 90.00°, γ = 90.00°
Closest atoms and distances in Å follow each position.
Element x y z (fractional)
1 Rb 0.0000 0.5000 0.0000  4 Mg 3.14
2 Mg 0.5000 0.5000 0.5000  4 Rb 3.14
3 Zr 0.0000 0.0000 0.0000  4 F 2.22
4 F 0.5000 0.0000 0.0000  2 Zr 2.22
5 F 0.0000 0.0000 0.5000  2 Zr 2.22

Values from the calculation:
total magnetization = 1.094 μB/f.u.
energy relative to the elements, uncorrected = -1032.2 meV/atom
uncorrected energy = -4.003 eV per atom

A relaxed MgReF2 crystal, computed with PBE.

a = 9.9214 Å, b = 9.9214 Å, c = 9.9214 Å
α = 16.16°, β = 16.16°, γ = 16.16°
Closest atoms and distances in Å follow each position.
Element x y z (fractional)
1 F 0.8696 0.8696 0.8696  3 Mg 1.93
2 F 0.1304 0.1304 0.1304  3 Mg 1.93
3 Re 0.0000 0.0000 0.0000  6 Re 2.79
4 Mg 0.5000 0.5000 0.5000  6 F 1.93

Values from the calculation:
total magnetization = 0.974 μB/f.u.
energy relative to the elements, uncorrected = -1692.0 meV/atom
uncorrected energy = -6.138 eV per atom

A relaxed MgReF2 crystal, computed with PBE.

a = 5.0492 Å, b = 5.0492 Å, c = 5.7674 Å
α = 64.04°, β = 64.04°, γ = 90.00°
Closest atoms and distances in Å follow each position.
Element x y z (fractional)
1 F 0.2190 0.6250 0.2500  2 Mg 1.87
2 F 0.3750 0.4690 0.7500  2 Mg 1.87
3 F 0.8750 0.7810 0.7500  2 Mg 1.87
4 F 0.5310 0.1250 0.2500  2 Mg 1.87
5 Mg 0.2500 0.7500 0.5000  4 F 1.87
6 Mg 0.5000 0.5000 0.0000  4 F 1.87
7 Re 0.7500 0.2500 0.5000  4 F 2.43
8 Re 0.0000 0.0000 0.0000  4 F 2.43

Values from the calculation:
total magnetization = 1.000 μB/f.u.
energy relative to the elements, uncorrected = -630.4 meV/atom
uncorrected energy = -5.077 eV per atom

A relaxed MgReF2 crystal, computed with PBE.

a = 4.1838 Å, b = 4.1838 Å, c = 4.1838 Å
α = 60.00°, β = 60.00°, γ = 60.00°
Closest atoms and distances in Å follow each position.
Element x y z (fractional)
1 F 0.7500 0.7500 0.7500  4 Mg 2.56, 4 Re 2.56
2 F 0.2500 0.2500 0.2500  4 Re 2.56, 4 Mg 2.56
3 Mg 0.0000 0.0000 0.0000  8 F 2.56
4 Re 0.5000 0.5000 0.5000  8 F 2.56

Values from the calculation:
total magnetization = 0.004 μB/f.u.
energy relative to the elements, uncorrected = -21.1 meV/atom
uncorrected energy = -4.467 eV per atom

A relaxed MgReF3 crystal, computed with PBE.

a = 4.1323 Å, b = 4.1323 Å, c = 4.1323 Å
α = 90.00°, β = 90.00°, γ = 90.00°
Closest atoms and distances in Å follow each position.
Element x y z (fractional)
1 Re 0.5000 0.5000 0.5000  12 F 2.92
2 F 0.0000 0.0000 0.5000  2 Mg 2.07
3 F 0.0000 0.5000 0.0000  2 Mg 2.07
4 F 0.5000 0.0000 0.0000  2 Mg 2.07
5 Mg 0.0000 0.0000 0.0000  6 F 2.07

Values from the calculation:
total magnetization = 5.899 μB/f.u.
energy relative to the elements, uncorrected = -1311.3 meV/atom
uncorrected energy = -5.243 eV per atom

A relaxed Mg2ReF crystal, computed with PBE.

a = 6.0460 Å, b = 6.0460 Å, c = 5.5444 Å
α = 56.96°, β = 56.96°, γ = 90.00°
Closest atoms and distances in Å follow each position.
Element x y z (fractional)
1 Mg 0.8750 0.7791 0.7500  2 F 1.98
2 Mg 0.2209 0.6250 0.2500  2 F 1.98
3 Mg 0.5291 0.1250 0.2500  2 F 1.98
4 Mg 0.3750 0.4709 0.7500  2 F 1.98
5 Re 0.0000 0.0000 0.0000  4 Mg 2.73
6 Re 0.7500 0.2500 0.5000  4 Mg 2.73
7 F 0.2500 0.7500 0.5000  4 Mg 1.98
8 F 0.5000 0.5000 0.0000  4 Mg 1.98

Values from the calculation:
total magnetization = 0.000 μB/f.u.
energy relative to the elements, uncorrected = -255.3 meV/atom
uncorrected energy = -4.632 eV per atom

A relaxed MgReF2 crystal, computed with PBE.

a = 8.2176 Å, b = 8.2176 Å, c = 8.2176 Å
α = 19.31°, β = 19.31°, γ = 19.31°
Closest atoms and distances in Å follow each position.
Element x y z (fractional)
1 Re 0.5000 0.5000 0.5000  6 F 2.61, 6 Re 2.76
2 Mg 0.0000 0.0000 0.0000  2 F 1.96
3 F 0.0812 0.0812 0.0812  1 Mg 1.96
4 F 0.9188 0.9188 0.9188  1 Mg 1.96

Values from the calculation:
total magnetization = 0.000 μB/f.u.
energy relative to the elements, uncorrected = -616.0 meV/atom
uncorrected energy = -5.062 eV per atom

A relaxed Mg2ReF crystal, computed with PBE.

a = 4.6114 Å, b = 4.6114 Å, c = 4.6114 Å
α = 60.00°, β = 60.00°, γ = 60.00°
Closest atoms and distances in Å follow each position.
Element x y z (fractional)
1 Mg 0.2500 0.2500 0.2500  4 F 2.82, 4 Re 2.82
2 Mg 0.7500 0.7500 0.7500  4 Re 2.82, 4 F 2.82
3 F 0.0000 0.0000 0.0000  8 Mg 2.82
4 Re 0.5000 0.5000 0.5000  8 Mg 2.82

Values from the calculation:
total magnetization = 2.181 μB/f.u.
energy relative to the elements, uncorrected = 317.8 meV/atom
uncorrected energy = -4.059 eV per atom

A relaxed MgReF6 crystal, computed with PBE.

a = 5.3542 Å, b = 5.3539 Å, c = 5.5565 Å
α = 61.19°, β = 61.19°, γ = 59.98°
Closest atoms and distances in Å follow each position.
Element x y z (fractional)
1 Mg 0.5000 0.5000 0.5000  6 F 2.01
2 Re 0.0000 0.0000 0.0000  6 F 1.98
3 F 0.1539 0.3427 0.7510  1 Re 1.98, 1 Mg 2.01
4 F 0.8461 0.6573 0.2490  1 Re 1.98, 1 Mg 2.01
5 F 0.6573 0.2477 0.2490  1 Re 1.98, 1 Mg 2.01
6 F 0.3427 0.7523 0.7510  1 Re 1.98, 1 Mg 2.01
7 F 0.2478 0.8460 0.2489  1 Re 1.98, 1 Mg 2.01
8 F 0.7522 0.1540 0.7511  1 Re 1.98, 1 Mg 2.01

Values from the calculation:
total magnetization = 3.000 μB/f.u.
energy relative to the elements, uncorrected = -2609.3 meV/atom
uncorrected energy = -5.768 eV per atom

A relaxed Mg3ReF crystal, computed with PBE.

a = 4.2436 Å, b = 4.2436 Å, c = 4.2436 Å
α = 90.00°, β = 90.00°, γ = 90.00°
Closest atoms and distances in Å follow each position.
Element x y z (fractional)
1 Mg 0.0000 0.0000 0.5000  2 F 2.12
2 Mg 0.0000 0.5000 0.0000  2 F 2.12
3 Mg 0.5000 0.0000 0.0000  2 F 2.12
4 Re 0.5000 0.5000 0.5000  12 Mg 3.00
5 F 0.0000 0.0000 0.0000  6 Mg 2.12

Values from the calculation:
total magnetization = 0.000 μB/f.u.
energy relative to the elements, uncorrected = -467.3 meV/atom
uncorrected energy = -4.288 eV per atom

A relaxed MgReF3 crystal, computed with PBE.

a = 4.2522 Å, b = 4.2522 Å, c = 4.2522 Å
α = 90.00°, β = 90.00°, γ = 90.00°
Closest atoms and distances in Å follow each position.
Element x y z (fractional)
1 F 0.0000 0.5000 0.0000  2 Re 2.13
2 F 0.5000 0.0000 0.0000  2 Re 2.13
3 F 0.0000 0.0000 0.5000  2 Re 2.13
4 Mg 0.5000 0.5000 0.5000  12 F 3.01
5 Re 0.0000 0.0000 0.0000  6 F 2.13

Values from the calculation:
total magnetization = 1.314 μB/f.u.
energy relative to the elements, uncorrected = -768.6 meV/atom
uncorrected energy = -4.700 eV per atom

A relaxed Mg3ReF crystal, computed with PBE.

a = 5.2411 Å, b = 5.2411 Å, c = 5.2411 Å
α = 90.00°, β = 90.00°, γ = 90.00°
Closest atoms and distances in Å follow each position.
Element x y z (fractional)
1 Mg 0.0000 0.5000 0.0000  2 Re 2.62
2 Mg 0.5000 0.0000 0.0000  2 Re 2.62
3 Mg 0.0000 0.0000 0.5000  2 Re 2.62
4 Re 0.0000 0.0000 0.0000  6 Mg 2.62
5 F 0.5000 0.5000 0.5000  12 Mg 3.71

Values from the calculation:
total magnetization = 2.632 μB/f.u.
energy relative to the elements, uncorrected = 702.6 meV/atom
uncorrected energy = -3.118 eV per atom

A relaxed MgReRu2F crystal, computed with PBE.

a = 4.7704 Å, b = 3.3450 Å, c = 4.7704 Å
α = 90.00°, β = 90.00°, γ = 90.00°
Closest atoms and distances in Å follow each position.
Element x y z (fractional)
1 Ru 0.0000 0.0000 0.5000  2 Mg 2.39
2 Ru 0.5000 0.0000 0.0000  2 Mg 2.39
3 Mg 0.0000 0.0000 0.0000  2 F 1.67
4 Re 0.5000 0.5000 0.5000  8 Ru 2.91
5 F 0.0000 0.5000 0.0000  2 Mg 1.67

Values from the calculation:
total magnetization = 0.000 μB/f.u.
energy relative to the elements, uncorrected = 845.2 meV/atom
uncorrected energy = -6.048 eV per atom

A relaxed MgRhF2 crystal, computed with PBE.

a = 5.2869 Å, b = 5.2869 Å, c = 5.8881 Å
α = 63.32°, β = 63.32°, γ = 90.00°
Closest atoms and distances in Å follow each position.
Element x y z (fractional)
1 Rh 0.7500 0.2500 0.5000  4 F 2.61
2 Rh 0.0000 0.0000 0.0000  4 F 2.61
3 F 0.2413 0.6250 0.2500  2 Mg 1.88
4 F 0.3750 0.4913 0.7500  2 Mg 1.88
5 F 0.5087 0.1250 0.2500  2 Mg 1.88
6 F 0.8750 0.7587 0.7500  2 Mg 1.88
7 Mg 0.5000 0.5000 0.0000  4 F 1.88
8 Mg 0.2500 0.7500 0.5000  4 F 1.88

Values from the calculation:
total magnetization = 1.335 μB/f.u.
energy relative to the elements, uncorrected = -1479.8 meV/atom
uncorrected energy = -4.652 eV per atom

A relaxed MgRhF2 crystal, computed with PBE.

a = 4.1621 Å, b = 4.1621 Å, c = 4.1621 Å
α = 60.00°, β = 60.00°, γ = 60.00°
Closest atoms and distances in Å follow each position.
Element x y z (fractional)
1 Mg 0.0000 0.0000 0.0000  8 F 2.55
2 F 0.2500 0.2500 0.2500  4 Mg 2.55, 4 Rh 2.55
3 F 0.7500 0.7500 0.7500  4 Mg 2.55, 4 Rh 2.55
4 Rh 0.5000 0.5000 0.5000  8 F 2.55

Values from the calculation:
total magnetization = 1.385 μB/f.u.
energy relative to the elements, uncorrected = -1044.8 meV/atom
uncorrected energy = -4.217 eV per atom

A relaxed MgRhF2 crystal, computed with PBE.

a = 9.0539 Å, b = 9.0539 Å, c = 9.0539 Å
α = 18.26°, β = 18.26°, γ = 18.26°
Closest atoms and distances in Å follow each position.
Element x y z (fractional)
1 F 0.8719 0.8719 0.8719  3 Mg 1.95
2 F 0.1281 0.1281 0.1281  3 Mg 1.95
3 Rh 0.0000 0.0000 0.0000  6 Rh 2.87
4 Mg 0.5000 0.5000 0.5000  6 F 1.95

Values from the calculation:
total magnetization = 1.425 μB/f.u.
energy relative to the elements, uncorrected = -1970.9 meV/atom
uncorrected energy = -5.143 eV per atom

A relaxed MgRh2F crystal, computed with PBE.

a = 4.3253 Å, b = 4.3253 Å, c = 4.3253 Å
α = 60.00°, β = 60.00°, γ = 60.00°
Closest atoms and distances in Å follow each position.
Element x y z (fractional)
1 Rh 0.2500 0.2500 0.2500  4 F 2.65, 4 Mg 2.65
2 Rh 0.7500 0.7500 0.7500  4 F 2.65, 4 Mg 2.65
3 F 0.0000 0.0000 0.0000  8 Rh 2.65
4 Mg 0.5000 0.5000 0.5000  8 Rh 2.65

Values from the calculation:
total magnetization = 1.291 μB/f.u.
energy relative to the elements, uncorrected = 38.6 meV/atom
uncorrected energy = -4.504 eV per atom

A relaxed Mg2RhF crystal, computed with PBE.

a = 4.4410 Å, b = 4.4410 Å, c = 4.4410 Å
α = 60.00°, β = 60.00°, γ = 60.00°
Closest atoms and distances in Å follow each position.
Element x y z (fractional)
1 Mg 0.7500 0.7500 0.7500  4 Rh 2.72, 4 F 2.72
2 Mg 0.2500 0.2500 0.2500  4 F 2.72, 4 Rh 2.72
3 F 0.0000 0.0000 0.0000  8 Mg 2.72
4 Rh 0.5000 0.5000 0.5000  8 Mg 2.72

Values from the calculation:
total magnetization = 0.000 μB/f.u.
energy relative to the elements, uncorrected = -719.8 meV/atom
uncorrected energy = -3.823 eV per atom

A relaxed Mg2RhF crystal, computed with PBE.

a = 6.1657 Å, b = 6.1657 Å, c = 5.4512 Å
α = 55.56°, β = 55.56°, γ = 90.00°
Closest atoms and distances in Å follow each position.
Element x y z (fractional)
1 Mg 0.5548 0.1250 0.2500  2 F 2.07
2 Mg 0.1952 0.6250 0.2500  2 F 2.07
3 Mg 0.8750 0.8048 0.7500  2 F 2.07
4 Mg 0.3750 0.4452 0.7500  2 F 2.07
5 Rh 0.7500 0.2500 0.5000  4 Mg 2.64
6 Rh 0.0000 0.0000 0.0000  4 Mg 2.64
7 F 0.2500 0.7500 0.5000  4 Mg 2.07
8 F 0.5000 0.5000 0.0000  4 Mg 2.07

Values from the calculation:
total magnetization = 0.000 μB/f.u.
energy relative to the elements, uncorrected = -1120.8 meV/atom
uncorrected energy = -4.224 eV per atom